1.
Computed, not measured: a geometry-optimized Th4TeAs2Ir structure at the PBE-GGA level of DFT.

Formation energy without anion corrections, meV/atom: -1168

Structure (CIF):
```
data_Th4TeAs2Ir
_chemical_formula_sum 'Th4 Te1 As2 Ir1'
_cell_length_a 7.491
_cell_length_b 4.190
_cell_length_c 7.584
_cell_angle_alpha 90.00
_cell_angle_beta 108.94
_cell_angle_gamma 90.00
_space_group_name_H-M_alt 'P 1 2/m 1'
_space_group_IT_number 10
loop_
_space_group_symop_operation_xyz
'x,y,z'
'-x,-y,-z'
'-x,y,-z'
'x,-y,z'
loop_
_atom_site_label
_atom_site_type_symbol
_atom_site_fract_x
_atom_site_fract_y
_atom_site_fract_z
_atom_site_occupancy
Th1 Th 0.236 0.000 0.223 1
Th2 Th 0.264 0.500 0.771 1
Te1 Te 0.000 0.000 0.500 1
As1 As 0.500 0.000 0.000 1
As2 As 0.500 0.500 0.500 1
Ir1 Ir 0.000 0.500 0.000 1
```

***

2.
Computed, not measured: a geometry-optimized CaTb2Pm4 structure at the PBE-GGA level of DFT.

E_form, meV per atom: 27.2

Structure (CIF):
```
data_CaTb2Pm4
_chemical_formula_sum 'Ca3 Tb6 Pm12'
_cell_length_a 3.6373
_cell_length_b 3.6373
_cell_length_c 63.1061
_cell_angle_alpha 90.00
_cell_angle_beta 90.00
_cell_angle_gamma 120.00
_space_group_name_H-M_alt 'R -3 m'
_space_group_IT_number 166
_space_group_name_Hall '-R 3 2"'
loop_
_atom_site_label
_atom_site_type_symbol
_atom_site_fract_x
_atom_site_fract_y
_atom_site_fract_z
_atom_site_occupancy
Ca1 Ca 0.0000 0.0000 0.0000 1
Tb1 Tb 0.0000 0.0000 0.4297 1
Pm1 Pm 0.0000 0.0000 0.1431 1
Pm2 Pm 0.0000 0.0000 0.2823 1
```

***

3.
Computed, not measured: a geometry-optimized InPt2Cl2 structure at the PBE-GGA level of DFT.

Formation energy without anion corrections, meV/atom: -136
Excess energy over the best structure of this formula in the dataset, meV per atom: 0

Structure (CIF):
```
data_InPt2Cl2
_chemical_formula_sum 'In2 Pt4 Cl4'
_cell_length_a 6.925
_cell_length_b 6.925
_cell_length_c 4.731
_cell_angle_alpha 90.00
_cell_angle_beta 90.00
_cell_angle_gamma 90.00
_space_group_name_H-M_alt 'P 4/m b m'
_space_group_IT_number 127
_space_group_name_Hall '-P 4 2ab'
loop_
_atom_site_label
_atom_site_type_symbol
_atom_site_fract_x
_atom_site_fract_y
_atom_site_fract_z
_atom_site_occupancy
In1 In 0.000 0.000 0.000 1
Pt1 Pt 0.137 0.363 0.000 1
Cl1 Cl 0.182 0.318 0.500 1
```

***

4.
Computed, not measured: a geometry-optimized TmScNi4 structure at the PBE-GGA level of DFT.

E_form, meV per atom: -506.5

Structure (CIF):
```
data_TmScNi4
_chemical_formula_sum 'Tm4 Sc4 Ni16'
_cell_length_a 7.010
_cell_length_b 7.010
_cell_length_c 7.010
_cell_angle_alpha 90.00
_cell_angle_beta 90.00
_cell_angle_gamma 90.00
_space_group_name_H-M_alt 'F -4 3 m'
_space_group_IT_number 216
_space_group_name_Hall 'F -4 2 3'
loop_
_atom_site_label
_atom_site_type_symbol
_atom_site_fract_x
_atom_site_fract_y
_atom_site_fract_z
_atom_site_occupancy
Tm1 Tm 0.000 0.000 0.000 1
Sc1 Sc 0.250 0.250 0.250 1
Ni1 Ni 0.125 0.125 0.625 1
```